No. 1
Here is a relaxed structure of CePr2Y3Se6 from Alexandria. Energies are from GGA-PBE.

a = 9.3558 Å, b = 9.3558 Å, c = 8.4338 Å
α = 104.16°, β = 104.16°, γ = 25.47°
Last column: nearest neighbours and their distance in Å.
Sites, in units of the cell vectors:
Ce 0.0000 0.0000 0.0000  6 Se 2.98-3.00
Pr 0.3336 0.3336 0.6675  6 Se 3.01-3.02
Pr 0.6664 0.6664 0.3325  6 Se 3.01-3.02
Y 0.0000 0.0000 0.5000  6 Se 2.88-2.90
Y 0.3319 0.3319 0.1650  6 Se 2.88-2.90
Y 0.6681 0.6681 0.8350  6 Se 2.88-2.90
Se 0.1633 0.1633 0.5928  3 Y 2.88-2.89, 3 Pr 3.01-3.02
Se 0.1687 0.1687 0.0738  3 Y 2.88, 1 Ce 2.98, 2 Pr 3.01
Se 0.4959 0.4959 0.2558  3 Y 2.90, 2 Ce 3.00, 1 Pr 3.01
Se 0.5041 0.5041 0.7442  3 Y 2.90, 2 Ce 3.00, 1 Pr 3.01
Se 0.8313 0.8313 0.9262  3 Y 2.88, 1 Ce 2.98, 2 Pr 3.01
Se 0.8367 0.8367 0.4072  3 Y 2.88-2.89, 3 Pr 3.01-3.02

* crystal system: monoclinic
* energy relative to the elements, uncorrected: -1.8083 eV/atom
* symmetry: C2/m
* magnetization: 1.23 Bohr magnetons per cell

No. 2
Here is a relaxed structure of CsHgF from Alexandria. Energies are from GGA-PBE.

a = 5.2576 Å, b = 5.2576 Å, c = 5.2576 Å
α = 60.00°, β = 60.00°, γ = 60.00°
Last column: nearest neighbours and their distance in Å.
Sites, in units of the cell vectors:
Cs 0.0000 0.0000 0.0000  4 F 3.22
Hg 0.5000 0.5000 0.5000  4 F 3.22
F 0.7500 0.7500 0.7500  4 Hg 3.22, 4 Cs 3.22

* crystal system: cubic
* energy relative to the elements, uncorrected: -1.5361 eV/atom
* symmetry: F-43m
* energy above the most stable polymorph in this dataset: 181 meV per atom
* magnetization: 0.00 Bohr magnetons per cell

No. 3
Here is a relaxed structure of ThPaOs4 from Alexandria. Energies are from GGA-PBE.

a = 5.4119 Å, b = 5.4119 Å, c = 5.4119 Å
α = 60.00°, β = 60.00°, γ = 60.00°
Last column: nearest neighbours and their distance in Å.
Sites, in units of the cell vectors:
Th 0.0000 0.0000 0.0000  12 Os 3.17, 4 Pa 3.31
Pa 0.7500 0.7500 0.7500  12 Os 3.17, 4 Th 3.31
Os 0.3753 0.3753 0.3753  6 Os 2.70-2.71
Os 0.3753 0.3753 0.8742  6 Os 2.70-2.71
Os 0.3753 0.8742 0.3753  6 Os 2.70-2.71
Os 0.8742 0.3753 0.3753  6 Os 2.70-2.71

* crystal system: cubic
* formation enthalpy at 0 K: -0.25 eV/atom
* symmetry: F-43m
* magnetization: 0.00 Bohr magnetons per cell

- Among the records above, which one has the highest magnetization?
  CePr2Y3Se6